No. 1
KTlSn2Cl6, relaxed, DFT PBE; total magnetization = 0.00 μB per formula unit; V = 38.7 A^3/atom; ΔE_f (raw) = -1.200 eV/atom; density of states at the Fermi level = 0.00 states/eV per cell
1.0
7.4038 -6.4576 0.0000
7.4038 6.4576 0.0000
-1.1706 0.0000 8.0933
K Tl Sn Cl
2 2 4 12
Cartesian
6.5259 5.1309 6.0699
7.1112 -5.1309 2.0233
7.1112 3.0956 2.0233
6.5259 -3.0956 6.0699
2.4592 0.9969 8.0648
3.0445 -0.9969 4.0181
10.5925 0.9969 4.0751
11.1778 -0.9969 0.0285
1.1599 0.7752 4.8806
4.2512 3.4607 7.3835
1.7452 -0.7752 0.8339
4.8614 0.9534 2.2609
8.8006 3.4607 4.7564
4.2761 -0.9534 6.3075
9.3609 0.9534 1.7858
4.8365 -3.4607 3.3369
8.7756 -0.9534 5.8324
11.8918 0.7752 7.2593
9.3858 -3.4607 0.7098
12.4771 -0.7752 3.2127


No. 2
K2TlSnCl5, relaxed, DFT PBE; total magnetization = 0.00 μB per formula unit; V = 34.4 A^3/atom; ΔE_f (raw) = -1.402 eV/atom; density of states at the Fermi level = 0.00 states/eV per cell
1.0
2.3943 -8.8974 0.0000
2.3943 8.8974 0.0000
0.0000 0.0000 14.5188
K Tl Sn Cl
4 2 2 10
Cartesian
2.3943 6.8914 7.2594
2.3943 6.0845 0.7032
2.3943 -6.0845 7.9626
2.3943 -6.8914 0.0000
2.3943 4.8517 11.3964
2.3943 -4.8517 4.1370
2.3943 0.4947 3.9201
2.3943 -0.4947 11.1794
2.3943 8.0181 12.6120
2.3943 3.9203 6.1922
2.3943 3.1366 1.9814
2.3943 1.8413 12.3451
2.3943 0.7664 8.8282
2.3943 -0.7664 1.5688
2.3943 -1.8413 5.0857
2.3943 -3.1366 9.2408
2.3943 -3.9203 13.4515
2.3943 -8.0181 5.3526


No. 3
KTlSnCl6, relaxed, DFT PBE; total magnetization = 0.00 μB per formula unit; V = 34.0 A^3/atom; ΔE_f (raw) = -1.219 eV/atom; density of states at the Fermi level = 0.00 states/eV per cell
1.0
7.5864 0.0000 0.0000
-3.7932 6.5700 0.0000
0.0000 0.0000 12.2851
K Tl Sn Cl
2 2 2 12
Cartesian
0.0000 4.3800 3.0713
3.7932 2.1900 9.2138
0.0000 0.0000 0.0000
0.0000 0.0000 6.1425
0.0000 4.3800 9.2138
3.7932 2.1900 3.0713
-1.0161 2.6287 7.7769
-2.0247 4.3757 10.6508
1.0161 2.6287 10.6508
-1.0086 6.1357 7.7769
2.7846 0.4344 1.6343
1.7685 2.1944 4.5082
2.0247 4.3757 7.7769
1.0086 6.1357 10.6508
4.8018 0.4344 4.5082
2.7771 3.9413 1.6343
5.8179 2.1944 1.6343
4.8093 3.9413 4.5082


No. 4
KVSn2Cl8, relaxed, DFT PBE; total magnetization = 2.00 μB per formula unit; V = 30.1 A^3/atom; ΔE_f (raw) = -1.218 eV/atom; density of states at the Fermi level = 7.86 states/eV per cell
1.0
6.2276 0.0000 0.0000
0.2419 7.2480 0.0000
2.1503 1.6540 8.0150
K V Sn Cl
1 1 2 8
Cartesian
0.0000 0.0000 0.0000
1.0752 0.8270 4.0075
3.4978 3.3282 2.1402
5.1220 5.5739 5.8748
2.5790 6.1651 4.7304
2.6103 2.3006 4.9879
1.7548 4.4892 0.1087
2.4064 0.9419 1.9316
6.2134 7.9601 6.0834
6.8650 4.4129 7.9064
6.0095 6.6014 3.0272
6.0408 2.7370 3.2847